First-principles (GGA-PBE) data for a geometry-optimized BeCdAg2 structure, as listed in Alexandria via LeMat-Bulk.

a = 5.473 Å, b = 5.473 Å, c = 4.642 Å
α = 62.92°, β = 62.92°, γ = 32.09°
Sites, in units of the cell vectors:
Cd 0.250 0.250 0.250
Ag 0.459 0.459 0.542
Ag 0.041 0.041 0.958
Be 0.750 0.750 0.750

Summary:
Energy relative to the lowest polymorph listed for this composition   47 meV per atom
E   -2.462 eV per atom
SG   C2/m (12)

***

First-principles (GGA-PBE) data for a geometry-optimized Be3CdAg structure, as listed in Alexandria via LeMat-Bulk.

a = 4.372 Å, b = 4.372 Å, c = 4.372 Å
α = 90.00°, β = 90.00°, γ = 90.00°
Sites, in units of the cell vectors:
Cd 0.500 0.500 0.500
Be 0.000 0.500 0.000
Be 0.000 0.000 0.500
Be 0.500 0.000 0.000
Ag 0.000 0.000 0.000

Summary:
Energy relative to the lowest polymorph listed for this composition   0 meV per atom
E   -2.183 eV per atom
SG   Pm-3m (221)

***

First-principles (GGA-PBE) data for a geometry-optimized Be2Cd2Ag structure, as listed in Alexandria via LeMat-Bulk.

a = 3.998 Å, b = 3.998 Å, c = 6.127 Å
α = 70.96°, β = 70.96°, γ = 90.00°
Sites, in units of the cell vectors:
Cd 0.750 0.250 0.500
Cd 0.250 0.750 0.500
Be 0.406 0.406 0.188
Be 0.594 0.594 0.812
Ag 0.000 0.000 0.000

Summary:
Energy relative to the lowest polymorph listed for this composition   240 meV per atom
E   -1.859 eV per atom
SG   I4/mmm (139)

***

First-principles (GGA-PBE) data for a geometry-optimized BeCd3Ag structure, as listed in Alexandria via LeMat-Bulk.

a = 5.276 Å, b = 5.276 Å, c = 5.276 Å
α = 90.00°, β = 90.00°, γ = 90.00°
Sites, in units of the cell vectors:
Be 0.500 0.500 0.500
Ag 0.000 0.000 0.000
Cd 0.000 0.500 0.000
Cd 0.000 0.000 0.500
Cd 0.500 0.000 0.000

Summary:
Energy relative to the lowest polymorph listed for this composition   478 meV per atom
E   -1.065 eV per atom
SG   Pm-3m (221)

***

First-principles (GGA-PBE) data for a geometry-optimized BeCdAg structure, as listed in Alexandria via LeMat-Bulk.

a = 4.914 Å, b = 5.039 Å, c = 5.019 Å
α = 76.19°, β = 60.69°, γ = 60.82°
Sites, in units of the cell vectors:
Ag 0.670 0.000 0.660
Ag 0.330 0.000 0.340
Be 0.250 0.500 0.500
Be 0.750 0.500 0.500
Cd 0.835 0.330 0.000
Cd 0.165 0.670 0.000

Summary:
Energy relative to the lowest polymorph listed for this composition   7 meV per atom
E   -2.314 eV per atom
SG   Fmmm (69)

***

First-principles (GGA-PBE) data for a geometry-optimized BeCdAg2 structure, as listed in Alexandria via LeMat-Bulk.

a = 5.315 Å, b = 5.315 Å, c = 5.315 Å
α = 145.66°, β = 129.03°, γ = 62.91°
Sites, in units of the cell vectors:
Ag 0.287 0.787 0.500
Ag 0.003 0.003 0.000
Be 0.490 0.490 0.000
Cd 0.720 0.220 0.500

Summary:
Energy relative to the lowest polymorph listed for this composition   81 meV per atom
E   -2.427 eV per atom
SG   Imm2 (44)

***

> Which of these has the lowest E?

number 1

***

> energy relative to the lowest polymorph listed for this composition of number 3 (Be2Cd2Ag)?

240 meV per atom

***

> What is the energy relative to the lowest polymorph listed for this composition in the first record?

47 meV per atom